Entry 1:
Density functional theory data (PBE) for a relaxed structure of ScBeAl.

Lattice parameters (Å, degrees): 4.1689 4.1689 4.1689 60.00 60.00 60.00
Sites, in units of the cell vectors:
Sc1 0.0000 0.0000 0.0000
Be1 0.7500 0.7500 0.7500
Al1 0.5000 0.5000 0.5000

Output
relative energy among the computed polymorphs = 86 meV per atom
total moment = 0.000 μB per formula unit
total energy = -4.81 eV per atom


Entry 2:
Density functional theory data (PBE) for a relaxed structure of Sc2BeAl.

Lattice parameters (Å, degrees): 5.9081 5.9081 5.9081 104.32 104.32 120.36
Sites, in units of the cell vectors:
Sc1 0.0899 0.6250 0.9649
Sc2 0.3750 0.3399 0.4649
Sc3 0.6601 0.1250 0.0351
Sc4 0.8750 0.9101 0.5351
Be1 0.0000 0.0000 0.0000
Be2 0.7500 0.2500 0.5000
Al1 0.2500 0.7500 0.5000
Al2 0.5000 0.5000 0.0000

Output
relative energy among the computed polymorphs = 509 meV per atom
total moment = 0.000 μB per formula unit
total energy = -4.79 eV per atom


Entry 3:
Density functional theory data (PBE) for a relaxed structure of Sc2BeAl.

Lattice parameters (Å, degrees): 4.7198 4.7198 5.4776 102.80 102.80 40.65
Sites, in units of the cell vectors:
Sc1 0.2419 0.2419 0.2364
Sc2 0.7581 0.7581 0.7636
Be1 0.5000 0.5000 0.0000
Al1 0.0000 0.0000 0.5000

Output
relative energy among the computed polymorphs = 330 meV per atom
total moment = 0.000 μB per formula unit
total energy = -4.97 eV per atom


Entry 4:
Density functional theory data (PBE) for a relaxed structure of Sc2BeAl.

Lattice parameters (Å, degrees): 4.6547 4.6547 4.6547 60.00 60.00 60.00
Sites, in units of the cell vectors:
Sc1 0.2500 0.2500 0.2500
Sc2 0.7500 0.7500 0.7500
Be1 0.0000 0.0000 0.0000
Al1 0.5000 0.5000 0.5000

Output
relative energy among the computed polymorphs = 36 meV per atom
total moment = 0.000 μB per formula unit
total energy = -5.27 eV per atom


relative energy among the computed polymorphs of number 3 (Sc2BeAl)?
330 meV per atom